Zr2ZnSnOs | PBE | relaxed

a = 5.2746 Å, b = 5.2746 Å, c = 4.5445 Å
α = 90.00°, β = 90.00°, γ = 90.00°
With the nearest neighbours (Å) after each atom.
Space group P4/mmm (No. 123)
One atom of each set of equivalent atoms:
Zr (0.0000, 0.5000, 0.0000) x2  2 Sn 2.64
Zn (0.0000, 0.0000, 0.5000) x1  2 Sn 2.27
Sn (0.0000, 0.0000, 0.0000) x1  2 Zn 2.27
Os (0.5000, 0.5000, 0.5000) x1  8 Zr 3.48, 4 Zn 3.73

Summary:
formation enthalpy at 0 K	1.425	eV/atom

***

NaAc2S3 | PBE | relaxed

a = 4.2951 Å, b = 4.2951 Å, c = 21.2456 Å
α = 90.00°, β = 90.00°, γ = 120.00°
With the nearest neighbours (Å) after each atom.
Space group P6_3/mmc (No. 194)
One atom of each set of equivalent atoms:
Na (0.0000, 0.0000, 0.2500) x2  6 S 3.10
Ac (0.3333, 0.6667, 0.0852) x4  6 S 2.98-3.07
S (0.0000, 0.0000, 0.0000) x2  6 Ac 3.07
S (0.3333, 0.6667, 0.6627) x4  3 Ac 2.98, 3 Na 3.10

Summary:
distance to the lowest polymorph of the same formula	0.0	meV/atom
uncorrected formation energy	-1844	meV/atom

***

Mg2TcAg | PBE | relaxed

a = 9.2127 Å, b = 2.7832 Å, c = 5.4108 Å
α = 90.00°, β = 97.31°, γ = 90.00°
With the nearest neighbours (Å) after each atom.
Space group C2/m (No. 12)
One atom of each set of equivalent atoms:
Mg (0.2501, 0.0000, 0.2376) x4  3 Tc 2.78-2.85, 4 Mg 2.78-2.92, 3 Ag 2.86-2.90
Tc (0.0000, 0.5000, 0.0000) x2  6 Mg 2.78-2.85, 2 Tc 2.78, 4 Ag 3.04
Ag (0.0000, 0.0000, 0.5000) x2  2 Ag 2.78, 6 Mg 2.86-2.90, 4 Tc 3.04

Summary:
formation enthalpy at 0 K	0.209	eV/atom
distance to the lowest polymorph of the same formula	122.4	meV/atom